Entry w
First-principles (PBE) data for a relaxed La3Nd2In3 crystal, as listed in Alexandria.

a b c (Å): 4.585 5.155 11.197
angles (deg): 103.31 101.81 90.00
Element x y z (fractional)
La (0.380, 0.380, 0.760)
La (0.620, 0.620, 0.240)
La (0.500, 0.000, 0.000)
Nd (0.265, 0.765, 0.529)
Nd (0.735, 0.235, 0.471)
In (0.874, 0.874, 0.747)
In (0.000, 0.500, 0.000)
In (0.126, 0.126, 0.253)

Summary:
Spin magnetization = 0.00 μB per formula unit

Entry x
First-principles (PBE) data for a relaxed La3Nd2In3 crystal, as listed in Alexandria.

a b c (Å): 3.518 9.028 9.028
angles (deg): 120.00 90.00 90.00
Element x y z (fractional)
La (0.000, 0.749, 0.749)
La (0.000, 0.251, 0.000)
La (0.000, 0.000, 0.251)
Nd (0.000, 0.333, 0.667)
Nd (0.000, 0.667, 0.333)
In (0.500, 0.383, 0.383)
In (0.500, 0.617, 0.000)
In (0.500, 0.000, 0.617)

Summary:
Spin magnetization = 0.01 μB per formula unit

If you had to bet on the most stable structure above, which would it be? Bet on entry w.